(1)
A relaxed PaHgP crystal, computed with GGA-PBE.

a b c (Å): 7.105 7.105 8.048
angles (deg): 102.84 102.84 119.78
Positions (direct):
1 Hg 0.125 0.375 0.750
2 Hg 0.625 0.875 0.250
3 Hg 0.625 0.375 0.750
4 Hg 0.625 0.375 0.250
5 Pa 0.834 0.166 0.000
6 Pa 0.084 0.916 0.500
7 Pa 0.416 0.584 0.500
8 Pa 0.166 0.834 0.000
9 P 0.375 0.875 0.750
10 P 0.875 0.875 0.750
11 P 0.125 0.625 0.250
12 P 0.125 0.125 0.250

Calculated values
The density of states at the Fermi level is 1.351 states/eV per atom. The size of the total moment comes out at 0.63 Bohr magnetons per cell. For the formation energy from the elements, the calculation gives -0.403 eV/atom.

=====

(2)
A relaxed Pa2HgP crystal, computed with GGA-PBE.

a b c (Å): 3.756 3.756 8.459
angles (deg): 77.17 77.17 60.00
Positions (direct):
1 Hg 0.500 0.500 0.500
2 Pa 0.734 0.734 0.797
3 Pa 0.266 0.266 0.203
4 P 0.000 0.000 0.000

Calculated values
The density of states at the Fermi level is 1.537 states/eV per atom. The size of the total moment comes out at 0.00 Bohr magnetons per cell. For the formation energy from the elements, the calculation gives -0.463 eV/atom.

=====

(3)
A relaxed Hg2PPb crystal, computed with GGA-PBE.

a b c (Å): 3.489 3.489 8.411
angles (deg): 90.00 90.00 105.70
Positions (direct):
1 Hg 0.000 0.000 0.464
2 Hg 0.000 0.000 0.036
3 Pb 0.500 0.500 0.750
4 P 0.500 0.500 0.250

Calculated values
The density of states at the Fermi level is 0.553 states/eV per atom. The size of the total moment comes out at 0.00 Bohr magnetons per cell. For the formation energy from the elements, the calculation gives 0.348 eV/atom.

=====

(4)
A relaxed HgPPb crystal, computed with GGA-PBE.

a b c (Å): 4.742 4.742 7.685
angles (deg): 90.00 90.00 120.00
Positions (direct):
1 Pb 0.000 0.000 0.500
2 Pb 0.000 0.000 0.000
3 P 0.667 0.333 0.250
4 P 0.333 0.667 0.750
5 Hg 0.667 0.333 0.750
6 Hg 0.333 0.667 0.250

Calculated values
The density of states at the Fermi level is 0.321 states/eV per atom. The size of the total moment comes out at 0.00 Bohr magnetons per cell. For the formation energy from the elements, the calculation gives 0.277 eV/atom.

=====

(5)
A relaxed Hg2PPb crystal, computed with GGA-PBE.

a b c (Å): 4.126 4.126 7.656
angles (deg): 75.86 75.86 60.39
Positions (direct):
1 Hg 0.239 0.239 0.283
2 Hg 0.993 0.993 0.021
3 Pb 0.773 0.773 0.696
4 P 0.495 0.495 0.500

Calculated values
The density of states at the Fermi level is 0.321 states/eV per atom. The size of the total moment comes out at 0.00 Bohr magnetons per cell. For the formation energy from the elements, the calculation gives 0.118 eV/atom.

=====

(6)
A relaxed Hg2PPb crystal, computed with GGA-PBE.

a b c (Å): 3.942 4.196 6.497
angles (deg): 70.86 90.00 90.00
Positions (direct):
1 Hg 0.000 0.044 0.034
2 Hg 0.500 0.448 0.225
3 Pb 0.500 0.721 0.686
4 P 0.000 0.286 0.555

Calculated values
The density of states at the Fermi level is 0.485 states/eV per atom. The size of the total moment comes out at 0.00 Bohr magnetons per cell. For the formation energy from the elements, the calculation gives 0.180 eV/atom.

=====

(7)
A relaxed Hg2PPb crystal, computed with GGA-PBE.

a b c (Å): 6.244 6.253 6.348
angles (deg): 115.08 101.35 95.78
Positions (direct):
1 Hg 0.166 0.140 0.134
2 Hg 0.123 0.591 0.037
3 Hg 0.644 0.932 0.433
4 Hg 0.685 0.838 0.904
5 Pb 0.151 0.861 0.588
6 Pb 0.660 0.374 0.173
7 P 0.548 0.366 0.717
8 P 0.189 0.319 0.604

Calculated values
The density of states at the Fermi level is 0.276 states/eV per atom. The size of the total moment comes out at 0.00 Bohr magnetons per cell. For the formation energy from the elements, the calculation gives 0.098 eV/atom.

=====

(8)
A relaxed Hg2PPb crystal, computed with GGA-PBE.

a b c (Å): 6.192 6.509 6.604
angles (deg): 105.46 99.56 116.87
Positions (direct):
1 Hg 0.707 0.914 0.880
2 Hg 0.997 0.101 0.372
3 Hg 0.150 0.807 0.621
4 Hg 0.493 0.569 0.395
5 P 0.909 0.381 0.908
6 P 0.806 0.348 0.567
7 Pb 0.457 0.384 0.899
8 Pb 0.314 0.905 0.192

Calculated values
The density of states at the Fermi level is 0.383 states/eV per atom. The size of the total moment comes out at 0.00 Bohr magnetons per cell. For the formation energy from the elements, the calculation gives 0.116 eV/atom.

=====

(9)
A relaxed HgPPb3 crystal, computed with GGA-PBE.

a b c (Å): 5.525 5.525 5.525
angles (deg): 90.00 90.00 90.00
Positions (direct):
1 Hg 0.500 0.500 0.500
2 Pb 0.000 0.500 0.000
3 Pb 0.000 0.000 0.500
4 Pb 0.500 0.000 0.000
5 P 0.000 0.000 0.000

Calculated values
The density of states at the Fermi level is 0.749 states/eV per atom. The size of the total moment comes out at 0.00 Bohr magnetons per cell. For the formation energy from the elements, the calculation gives 0.371 eV/atom.

=====

(10)
A relaxed Hg2PPb crystal, computed with GGA-PBE.

a b c (Å): 6.249 6.249 3.124
angles (deg): 90.00 90.00 124.83
Positions (direct):
1 Pb 0.000 0.500 0.500
2 Hg 0.500 0.500 0.000
3 Hg 0.000 0.000 0.000
4 P 0.500 0.000 0.500

Calculated values
The density of states at the Fermi level is 0.651 states/eV per atom. The size of the total moment comes out at 0.00 Bohr magnetons per cell. For the formation energy from the elements, the calculation gives 0.391 eV/atom.

=====

(11)
A relaxed HgPPb crystal, computed with GGA-PBE.

a b c (Å): 4.874 4.874 4.874
angles (deg): 60.00 60.00 60.00
Positions (direct):
1 Hg 0.500 0.500 0.500
2 Pb 0.000 0.000 0.000
3 P 0.250 0.250 0.250

Calculated values
The density of states at the Fermi level is 0.864 states/eV per atom. The size of the total moment comes out at 0.00 Bohr magnetons per cell. For the formation energy from the elements, the calculation gives 0.246 eV/atom.

=====

(12)
A relaxed HgPPb crystal, computed with GGA-PBE.

a b c (Å): 5.296 4.114 4.114
angles (deg): 120.00 90.00 90.00
Positions (direct):
1 Pb 0.286 0.333 0.667
2 P 0.997 0.000 0.000
3 Hg 0.717 0.667 0.333

Calculated values
The density of states at the Fermi level is 0.510 states/eV per atom. The size of the total moment comes out at 0.00 Bohr magnetons per cell. For the formation energy from the elements, the calculation gives 0.155 eV/atom.

=====

(13)
A relaxed HgPPb3 crystal, computed with GGA-PBE.

a b c (Å): 5.633 5.633 5.633
angles (deg): 90.00 90.00 90.00
Positions (direct):
1 Pb 0.000 0.000 0.500
2 Pb 0.500 0.000 0.000
3 Pb 0.000 0.500 0.000
4 Hg 0.000 0.000 0.000
5 P 0.500 0.500 0.500

Calculated values
The density of states at the Fermi level is 0.510 states/eV per atom. The size of the total moment comes out at 0.00 Bohr magnetons per cell. For the formation energy from the elements, the calculation gives 0.824 eV/atom.

=====

(14)
A relaxed Hg2PPb crystal, computed with GGA-PBE.

a b c (Å): 6.099 6.292 6.299
angles (deg): 116.77 93.92 93.73
Positions (direct):
1 Pb 0.255 0.070 0.604
2 Pb 0.787 0.399 0.931
3 P 0.199 0.503 0.576
4 P 0.844 0.426 0.498
5 Hg 0.716 0.852 0.616
6 Hg 0.268 0.831 0.045
7 Hg 0.773 0.958 0.168
8 Hg 0.326 0.383 0.150

Calculated values
The density of states at the Fermi level is 0.364 states/eV per atom. The size of the total moment comes out at 0.00 Bohr magnetons per cell. For the formation energy from the elements, the calculation gives 0.096 eV/atom.

=====

(15)
A relaxed HgP14Pb crystal, computed with GGA-PBE.

a b c (Å): 9.894 11.096 13.454
angles (deg): 90.00 90.00 90.00
Positions (direct):
1 P 0.952 0.636 0.637
2 P 0.952 0.864 0.137
3 P 0.577 0.825 0.678
4 P 0.578 0.089 0.420
5 P 0.583 0.289 0.059
6 P 0.750 0.346 0.829
7 P 0.548 0.636 0.637
8 P 0.583 0.211 0.559
9 P 0.577 0.846 0.975
10 P 0.548 0.864 0.137
11 P 0.077 0.154 0.025
12 P 0.250 0.654 0.171
13 P 0.078 0.911 0.580
14 P 0.422 0.911 0.580
15 P 0.048 0.136 0.863
16 P 0.923 0.825 0.678
17 P 0.423 0.175 0.322
18 P 0.923 0.675 0.178
19 P 0.078 0.589 0.080
20 P 0.452 0.364 0.363
21 P 0.452 0.136 0.863
22 P 0.577 0.675 0.178
23 P 0.077 0.346 0.525
24 P 0.417 0.711 0.941
25 P 0.750 0.722 0.951
26 P 0.083 0.789 0.441
27 P 0.422 0.589 0.080
28 P 0.750 0.162 0.027
29 P 0.423 0.346 0.525
30 P 0.750 0.338 0.527
31 P 0.577 0.654 0.475
32 P 0.750 0.894 0.589
33 P 0.922 0.089 0.420
34 P 0.077 0.175 0.322
35 P 0.423 0.154 0.025
36 P 0.250 0.846 0.671
37 P 0.250 0.278 0.049
38 P 0.250 0.662 0.473
39 P 0.750 0.778 0.451
40 P 0.922 0.411 0.920
41 P 0.250 0.222 0.549
42 P 0.423 0.325 0.822
43 P 0.923 0.846 0.975
44 P 0.048 0.364 0.363
45 P 0.750 0.154 0.329
46 P 0.250 0.838 0.973
47 P 0.077 0.325 0.822
48 P 0.083 0.711 0.941
49 P 0.417 0.789 0.441
50 P 0.250 0.106 0.411
51 P 0.750 0.606 0.089
52 P 0.917 0.289 0.059
53 P 0.917 0.211 0.559
54 P 0.250 0.394 0.911
55 P 0.923 0.654 0.475
56 P 0.578 0.411 0.920
57 Pb 0.250 0.591 0.672
58 Pb 0.750 0.091 0.828
59 Pb 0.250 0.909 0.172
60 Pb 0.750 0.409 0.328
61 Hg 0.250 0.503 0.316
62 Hg 0.750 0.497 0.684
63 Hg 0.250 0.997 0.816
64 Hg 0.750 0.003 0.184

Calculated values
The size of the total moment comes out at 0.00 Bohr magnetons per cell. For the formation energy from the elements, the calculation gives -0.015 eV/atom.

=====

(16)
A relaxed Hg2PPb crystal, computed with GGA-PBE.

a b c (Å): 5.184 5.184 5.184
angles (deg): 119.52 119.52 90.84
Positions (direct):
1 Pb 0.750 0.250 0.500
2 Hg 0.250 0.750 0.500
3 Hg 0.000 0.000 0.000
4 P 0.500 0.500 0.000

Calculated values
The density of states at the Fermi level is 0.361 states/eV per atom. The size of the total moment comes out at 0.00 Bohr magnetons per cell. For the formation energy from the elements, the calculation gives 0.281 eV/atom.

=====

(17)
A relaxed Hg2PPb crystal, computed with GGA-PBE.

a b c (Å): 6.015 6.015 6.015
angles (deg): 137.55 137.55 61.60
Positions (direct):
1 Hg 0.500 0.500 0.000
2 Hg 0.000 0.000 0.000
3 Pb 0.750 0.250 0.500
4 P 0.250 0.750 0.500

Calculated values
The density of states at the Fermi level is 0.440 states/eV per atom. The size of the total moment comes out at 0.00 Bohr magnetons per cell. For the formation energy from the elements, the calculation gives 0.300 eV/atom.

=====

(18)
A relaxed Hg2PPb crystal, computed with GGA-PBE.

a b c (Å): 3.647 3.647 7.226
angles (deg): 90.00 90.00 90.00
Positions (direct):
1 Pb 0.500 0.500 0.750
2 P 0.500 0.500 0.250
3 Hg 0.000 0.000 0.458
4 Hg 0.000 0.000 0.042

Calculated values
The density of states at the Fermi level is 0.594 states/eV per atom. The size of the total moment comes out at 0.00 Bohr magnetons per cell. For the formation energy from the elements, the calculation gives 0.363 eV/atom.

=====

(19)
A relaxed Hg2PPb crystal, computed with GGA-PBE.

a b c (Å): 6.352 5.821 11.572
angles (deg): 90.00 97.37 90.00
Positions (direct):
1 Pb 0.234 0.500 0.445
2 Pb 0.234 0.000 0.945
3 Pb 0.766 0.500 0.555
4 Pb 0.766 0.000 0.055
5 Hg 0.675 0.500 0.279
6 Hg 0.848 0.500 0.832
7 Hg 0.675 0.000 0.779
8 Hg 0.325 0.000 0.221
9 Hg 0.152 0.000 0.668
10 Hg 0.848 0.000 0.332
11 Hg 0.152 0.500 0.168
12 Hg 0.325 0.500 0.721
13 P 0.338 0.500 0.962
14 P 0.338 0.000 0.462
15 P 0.662 0.500 0.038
16 P 0.662 0.000 0.538

Calculated values
The density of states at the Fermi level is 0.384 states/eV per atom. The size of the total moment comes out at 0.00 Bohr magnetons per cell. For the formation energy from the elements, the calculation gives 0.087 eV/atom.

=====

(20)
A relaxed Hg2PPb2 crystal, computed with GGA-PBE.

a b c (Å): 7.194 7.194 5.151
angles (deg): 90.00 90.00 90.00
Positions (direct):
1 Pb 0.673 0.827 0.500
2 Pb 0.173 0.673 0.500
3 Pb 0.327 0.173 0.500
4 Pb 0.827 0.327 0.500
5 Hg 0.856 0.644 0.000
6 Hg 0.644 0.144 0.000
7 Hg 0.144 0.356 0.000
8 Hg 0.356 0.856 0.000
9 P 0.500 0.500 0.000
10 P 0.000 0.000 0.000

Calculated values
The density of states at the Fermi level is 0.482 states/eV per atom. The size of the total moment comes out at 0.00 Bohr magnetons per cell. For the formation energy from the elements, the calculation gives 0.240 eV/atom.